This record from Alexandria via LeMat-Bulk describes an optimized crystal structure of AlIrSCl2. The functional is PBE.

Unit cell a=4.478 b=4.478 c=5.000 alpha=90.00 beta=90.00 gamma=90.00
Each line ends with the local moment (μB).
Fractional positions:
Cl1 0.000 0.500 0.000  0.03
Ir1 0.500 0.500 0.500  1.84
Cl2 0.500 0.000 0.000  0.03
S1 0.000 0.000 0.500  0.04
Al1 0.000 0.000 0.000  0.00

## Properties
M_tot	2.16	Bohr magnetons per cell
electronic total energy	-3.64	eV/atom
energy relative to the elements, uncorrected	441	meV per atom


This record from Alexandria via LeMat-Bulk describes an optimized crystal structure of La14CeHg. The functional is PBE.

Unit cell a=7.306 b=7.306 c=10.422 alpha=90.00 beta=90.00 gamma=90.10
Each line ends with the local moment (μB).
Fractional positions:
La1 0.377 0.623 0.500  0.00
La2 0.357 0.099 0.000  0.02
La3 0.127 0.378 0.760  0.01
La4 0.126 0.874 0.742  0.00
La5 0.868 0.132 0.500  0.00
La6 0.622 0.873 0.760  0.01
La7 0.387 0.135 0.500  0.00
Hg1 0.376 0.624 0.000  0.00
La8 0.127 0.378 0.240  0.01
La9 0.865 0.613 0.500  0.00
La10 0.126 0.874 0.258  0.00
La11 0.621 0.379 0.775  0.01
Ce1 0.877 0.123 0.000  0.77
La12 0.622 0.873 0.240  0.01
La13 0.621 0.379 0.225  0.01
La14 0.901 0.643 0.000  0.02

## Properties
M_tot	1.15	Bohr magnetons per cell
energy of formation	-0.03	eV/atom
electronic total energy	-4.74	eV/atom


What is the M_tot in the first record?
2.16 Bohr magnetons per cell


What is the electronic total energy in the second record?
-4.74 eV/atom


Which of these has the lowest M_tot?
La14CeHg


Among the records above, which one has the lowest electronic total energy?
La14CeHg